## HRhAuBr (PBE-GGA)

Data for a relaxed HRhAuBr crystal.

Lattice parameters (Å, degrees): 3.2820 3.5460 6.1565 81.83 86.22 77.25
With the nearest neighbours (Å) after each atom.
Fractional positions:
H (0.6966, 0.2466, 0.5053)  2 Rh 1.69-1.88
Rh (0.1939, 0.3445, 0.5994)  2 H 1.69-1.88
Br (0.3398, 0.7510, 0.8703)  2 Rh 2.47-2.49, 1 Au 2.74
Au (0.0836, 0.9565, 0.2786)  1 H 2.05

Properties
The distance to the lowest polymorph of the same formula comes out at 0.19 eV/f.u. The value obtained for the uncorrected energy is -3.699 eV/atom.

---

## ReTeP3 (PBE-GGA)

Data for a relaxed ReTeP3 crystal.

Lattice parameters (Å, degrees): 4.6714 4.6714 4.6714 90.00 90.00 90.00
With the nearest neighbours (Å) after each atom.
Fractional positions:
P (0.0000, 0.0000, 0.5000)  2 Re 2.34
P (0.0000, 0.5000, 0.0000)  2 Re 2.34
P (0.5000, 0.0000, 0.0000)  2 Re 2.34
Re (0.0000, 0.0000, 0.0000)  6 P 2.34
Te (0.5000, 0.5000, 0.5000)  12 P 3.30

Properties
The value obtained for the formation energy (no corrections) is 523 meV/atom. The distance to the lowest polymorph of the same formula comes out at 0.00 eV/f.u. The value obtained for the uncorrected energy is -5.841 eV/atom.

---

## InSiH (PBE-GGA)

Data for a relaxed InSiH crystal.

Lattice parameters (Å, degrees): 3.7934 4.1538 7.8253 79.83 89.96 89.91
With the nearest neighbours (Å) after each atom.
Fractional positions:
H (0.7511, 0.1041, 0.9021)  1 Si 1.51
H (0.2489, 0.8959, 0.0979)  1 Si 1.51
In (0.2500, 0.2647, 0.4084)  1 Si 2.63
In (0.7500, 0.7353, 0.5916)  1 Si 2.63
Si (0.7501, 0.4585, 0.9211)  1 H 1.51
Si (0.2499, 0.5415, 0.0789)  1 H 1.51

Properties
The distance to the lowest polymorph of the same formula comes out at 0.00 eV/f.u. The value obtained for the uncorrected energy is -3.676 eV/atom.

---

## Ta2TiRe2 (PBE-GGA)

Data for a relaxed Ta2TiRe2 crystal.

Lattice parameters (Å, degrees): 3.1907 4.5324 11.3900 90.00 97.99 90.00
With the nearest neighbours (Å) after each atom.
Fractional positions:
Re (0.5495, 0.2500, 0.0995)  2 Ti 2.70, 6 Ta 2.76-2.77
Re (0.3511, 0.2500, 0.7016)  4 Ta 2.70-2.75, 4 Ti 2.77
Re (0.6489, 0.7500, 0.2984)  4 Ta 2.70-2.75, 4 Ti 2.77
Re (0.4505, 0.7500, 0.9005)  2 Ti 2.70, 6 Ta 2.76-2.77
Ti (0.1463, 0.2500, 0.2930)  6 Re 2.70-2.77, 2 Ta 2.91
Ti (0.8537, 0.7500, 0.7070)  6 Re 2.70-2.77, 2 Ta 2.91
Ta (0.7540, 0.2500, 0.5085)  2 Re 2.70, 4 Ta 2.78, 2 Ti 2.91
Ta (0.2460, 0.7500, 0.4915)  2 Re 2.70, 4 Ta 2.78, 2 Ti 2.91
Ta (0.9502, 0.2500, 0.9001)  8 Re 2.75-2.77
Ta (0.0498, 0.7500, 0.0999)  8 Re 2.75-2.77

Properties
The distance to the lowest polymorph of the same formula comes out at 0.00 eV/f.u. The calculation puts the energy of formation at -0.366 eV/atom. The value obtained for the uncorrected energy is -11.665 eV/atom.

---

## RePIr2 (PBE-GGA)

Data for a relaxed RePIr2 crystal.

Lattice parameters (Å, degrees): 2.8012 2.8012 7.2005 90.00 90.00 90.00
With the nearest neighbours (Å) after each atom.
Fractional positions:
Ir (0.0000, 0.0000, 0.7662)  4 P 2.60, 4 Re 2.76, 4 Ir 2.80
Ir (0.0000, 0.0000, 0.2338)  4 P 2.60, 4 Re 2.76, 4 Ir 2.80
P (0.5000, 0.5000, 0.0000)  8 Ir 2.60, 4 P 2.80
Re (0.5000, 0.5000, 0.5000)  8 Ir 2.76, 4 Re 2.80

Properties
The calculation puts the energy of formation at 0.016 eV/atom. The value obtained for the uncorrected energy is -8.879 eV/atom.

---

## La2Pr2Ga (PBE-GGA)

Data for a relaxed La2Pr2Ga crystal.

Lattice parameters (Å, degrees): 3.8926 7.0299 7.0299 69.33 73.93 73.93
With the nearest neighbours (Å) after each atom.
Fractional positions:
Pr (0.2655, 0.2345, 0.2345)  2 Ga 3.21, 2 La 3.54
Pr (0.7345, 0.7655, 0.7655)  2 Ga 3.21, 2 La 3.54
Ga (0.0000, 0.0000, 0.0000)  4 La 3.13, 4 Pr 3.21
La (0.5000, 0.6940, 0.3060)  1 La 3.10, 2 Ga 3.13
La (0.5000, 0.3060, 0.6940)  1 La 3.10, 2 Ga 3.13

Properties
The distance to the lowest polymorph of the same formula comes out at 0.19 eV/f.u. The calculation puts the energy of formation at -0.132 eV/atom. The value obtained for the uncorrected energy is -4.620 eV/atom.

---

## LaRe3O12 (PBE-GGA)

Data for a relaxed LaRe3O12 crystal.

Lattice parameters (Å, degrees): 9.0700 9.0700 10.7112 64.95 64.95 60.00
With the nearest neighbours (Å) after each atom.
Fractional positions:
O (0.2732, 0.8928, 0.6453)  1 Re 1.78
O (0.7648, 0.1093, 0.0310)  1 Re 1.77
O (0.3494, 0.4137, 0.3459)  1 Re 1.76
O (0.6093, 0.2648, 0.5310)  1 Re 1.77
O (0.2648, 0.5948, 0.5310)  1 Re 1.77
O (0.9500, 0.9847, 0.4720)  1 Re 1.72
O (0.8494, 0.3909, 0.8459)  1 Re 1.76
O (0.8909, 0.3494, 0.3459)  1 Re 1.76
O (0.5933, 0.9500, 0.4720)  1 Re 1.72
O (0.4500, 0.0933, 0.9720)  1 Re 1.72
O (0.6887, 0.3928, 0.1453)  1 Re 1.78
O (0.7732, 0.6887, 0.1453)  1 Re 1.78
O (0.9137, 0.8494, 0.8459)  1 Re 1.76
O (0.4137, 0.8909, 0.3459)  1 Re 1.76
O (0.0948, 0.7648, 0.0310)  1 Re 1.77
O (0.8928, 0.1887, 0.6453)  1 Re 1.78
O (0.0933, 0.4847, 0.9720)  1 Re 1.72
O (0.9847, 0.5933, 0.4720)  1 Re 1.72
O (0.1887, 0.2732, 0.6453)  1 Re 1.78
O (0.3909, 0.9137, 0.8459)  1 Re 1.76
O (0.4847, 0.4500, 0.9720)  1 Re 1.72
O (0.1093, 0.0948, 0.0310)  1 Re 1.77
O (0.5948, 0.6093, 0.5310)  1 Re 1.77
O (0.3928, 0.7732, 0.1453)  1 Re 1.78
Re (0.6903, 0.3389, 0.0033)  4 O 1.72-1.78
Re (0.3389, 0.9675, 0.0033)  4 O 1.72-1.78
Re (0.1903, 0.4675, 0.5033)  4 O 1.72-1.78
Re (0.8389, 0.1903, 0.5033)  4 O 1.72-1.78
Re (0.9675, 0.6903, 0.0033)  4 O 1.72-1.78
Re (0.4675, 0.8389, 0.5033)  4 O 1.72-1.78
La (0.0600, 0.0600, 0.8200)  9 O 2.44-2.69
La (0.5600, 0.5600, 0.3200)  9 O 2.44-2.69

Properties
The value obtained for the formation energy (no corrections) is -1931 meV/atom. The value obtained for the uncorrected energy is -8.291 eV/atom.

---

## LiY2In (PBE-GGA)

Data for a relaxed LiY2In crystal.

Lattice parameters (Å, degrees): 3.4600 4.7500 6.5651 90.00 90.00 90.00
With the nearest neighbours (Å) after each atom.
Fractional positions:
Y (0.5000, 0.5000, 0.2816)  1 Li 3.04, 4 In 3.25
Y (0.0000, 0.0000, 0.9814)  2 In 3.21-3.36, 4 Li 3.33, 6 Y 3.46-3.54
Li (0.5000, 0.5000, 0.7443)  5 Y 3.04-3.33, 4 In 3.37
In (0.0000, 0.0000, 0.4928)  6 Y 3.21-3.36, 4 Li 3.37, 2 In 3.46

Properties
The calculation puts the energy of formation at -0.134 eV/atom. The value obtained for the uncorrected energy is -4.529 eV/atom.

---

## BaLaMo2 (PBE-GGA)

Data for a relaxed BaLaMo2 crystal.

Lattice parameters (Å, degrees): 6.8045 6.8045 5.2617 67.25 67.25 31.37
With the nearest neighbours (Å) after each atom.
Fractional positions:
Ba (0.5251, 0.5251, 0.4749)  8 Mo 3.42-3.81, 2 Ba 3.68, 4 La 3.75-3.79
Mo (0.9273, 0.9273, 0.0728)  2 Mo 2.43
Mo (0.2950, 0.2950, 0.2049)  2 Mo 2.43
La (0.7527, 0.7527, 0.7473)  6 Mo 3.25-3.36

Properties
The distance to the lowest polymorph of the same formula comes out at 0.54 eV/f.u. The calculation puts the energy of formation at 0.620 eV/atom. The value obtained for the uncorrected energy is -6.508 eV/atom.

---

## RbTbI4 (PBE-GGA)

Data for a relaxed RbTbI4 crystal.

Lattice parameters (Å, degrees): 8.0077 8.3268 9.4336 116.19 93.22 90.00
With the nearest neighbours (Å) after each atom.
Fractional positions:
I (0.0000, 0.2481, 0.0000)  2 Tb 3.10
I (0.4318, 0.6198, 0.7874)  2 Tb 3.17-3.31
I (0.8338, 0.2999, 0.5998)  1 Tb 3.03
I (0.4318, 0.1675, 0.7874)  2 Tb 3.17-3.31
I (0.5682, 0.8325, 0.2126)  2 Tb 3.17-3.31
I (0.1662, 0.7001, 0.4002)  1 Tb 3.03
I (0.0000, 0.7519, 0.0000)  2 Tb 3.10
I (0.5682, 0.3802, 0.2126)  2 Tb 3.17-3.31
Tb (0.7196, 0.4670, 0.9341)  7 I 3.03-3.31
Tb (0.2804, 0.5330, 0.0659)  7 I 3.03-3.31
Rb (0.2537, 0.2112, 0.4224)  5 I 3.77-3.91
Rb (0.7463, 0.7888, 0.5776)  5 I 3.77-3.91

Properties
The value obtained for the formation energy (no corrections) is -1361 meV/atom. The distance to the lowest polymorph of the same formula comes out at 0.44 eV/f.u. The value obtained for the uncorrected energy is -3.328 eV/atom.

---

Among the records above, which one has the lowest uncorrected energy?
Ta2TiRe2

---

Which formula does entry 2 have?
ReTeP3